Entry 1:
# Ta2MnBr

Crystalline Ta2MnBr at its relaxed geometry (PBE, Alexandria via LeMat-Bulk).

Formation energy from raw total energies (eV per atom): 0.57
Energy relative to the lowest polymorph listed for this composition (kcal/mol of atoms): 8.27
Space group: Imm2

a = 5.501 Å, b = 5.501 Å, c = 5.501 Å
α = 147.56°, β = 131.96°, γ = 59.17°
Positions (direct):
Ta (0.032, 0.032, 0.000)
Mn (0.254, 0.754, 0.500)
Br (0.462, 0.462, 0.000)
Ta (0.751, 0.251, 0.500)

Entry 2:
# TaMnBr

Crystalline TaMnBr at its relaxed geometry (PBE, Alexandria via LeMat-Bulk).

Formation energy from raw total energies (eV per atom): 0.68
Energy relative to the lowest polymorph listed for this composition (kcal/mol of atoms): 9.51
Space group: P3m1

a = 4.193 Å, b = 4.193 Å, c = 3.022 Å
α = 90.00°, β = 90.00°, γ = 120.00°
Positions (direct):
Ta (0.333, 0.667, 0.668)
Mn (0.667, 0.333, 0.164)
Br (0.000, 0.000, 0.168)

Entry 3:
# TaMnBr2

Crystalline TaMnBr2 at its relaxed geometry (PBE, Alexandria via LeMat-Bulk).

Formation energy from raw total energies (eV per atom): 0.27
Energy relative to the lowest polymorph listed for this composition (kcal/mol of atoms): 10.44
Space group: R-3m

a = 10.461 Å, b = 10.461 Å, c = 10.461 Å
α = 17.80°, β = 17.80°, γ = 17.80°
Last column: magnetic moment on the atom in μB.
Positions (direct):
Ta (0.750, 0.750, 0.750)  -0.03
Br (0.021, 0.021, 0.021)  0.01
Br (0.479, 0.479, 0.479)  0.01
Mn (0.250, 0.250, 0.250)  4.27

Entry 4:
# Ta2MnBr

Crystalline Ta2MnBr at its relaxed geometry (PBE, Alexandria via LeMat-Bulk).

Formation energy from raw total energies (eV per atom): 0.32
Energy relative to the lowest polymorph listed for this composition (kcal/mol of atoms): 2.52
Space group: P4mm

a = 3.178 Å, b = 3.178 Å, c = 8.044 Å
α = 90.00°, β = 90.00°, γ = 90.00°
Last column: magnetic moment on the atom in μB.
Positions (direct):
Ta (0.000, 0.000, 0.994)  -0.48
Ta (0.500, 0.500, 0.221)  -0.23
Mn (0.500, 0.500, 0.832)  2.72
Br (0.000, 0.000, 0.453)  -0.01

Entry 5:
# Ta2MnBr

Crystalline Ta2MnBr at its relaxed geometry (PBE, Alexandria via LeMat-Bulk).

Formation energy from raw total energies (eV per atom): 0.36
Energy relative to the lowest polymorph listed for this composition (kcal/mol of atoms): 3.46
Space group: R-3m

a = 8.067 Å, b = 8.067 Å, c = 8.067 Å
α = 23.37°, β = 23.37°, γ = 23.37°
Last column: magnetic moment on the atom in μB.
Positions (direct):
Ta (0.484, 0.484, 0.484)  -0.11
Mn (0.750, 0.750, 0.750)  0.59
Ta (0.016, 0.016, 0.016)  -0.11
Br (0.250, 0.250, 0.250)  0.00

Entry 6:
# TaMnBr2

Crystalline TaMnBr2 at its relaxed geometry (PBE, Alexandria via LeMat-Bulk).

Formation energy from raw total energies (eV per atom): 0.69
Energy relative to the lowest polymorph listed for this composition (kcal/mol of atoms): 20.07
Space group: P4/mmm

a = 3.379 Å, b = 3.382 Å, c = 6.367 Å
α = 90.00°, β = 90.00°, γ = 90.00°
Last column: magnetic moment on the atom in μB.
Positions (direct):
Mn (0.500, 0.500, 0.250)  3.60
Br (0.000, 0.000, 0.506)  0.02
Br (0.000, 0.000, 0.994)  0.02
Ta (0.500, 0.500, 0.750)  -0.52

Copy entry 2 word for word.
# TaMnBr

Crystalline TaMnBr at its relaxed geometry (PBE, Alexandria via LeMat-Bulk).

Formation energy from raw total energies (eV per atom): 0.68
Energy relative to the lowest polymorph listed for this composition (kcal/mol of atoms): 9.51
Space group: P3m1

a = 4.193 Å, b = 4.193 Å, c = 3.022 Å
α = 90.00°, β = 90.00°, γ = 120.00°
Positions (direct):
Ta (0.333, 0.667, 0.668)
Mn (0.667, 0.333, 0.164)
Br (0.000, 0.000, 0.168)